Entry 1:
A relaxed structure of Ho4AlCu2, computed with PBE.

abc: 8.8696 8.8696 8.8696
angles: 31.95 31.95 31.95
Sites, in units of the cell vectors:
Ho1 0.1211 0.1211 0.1211
Ho2 0.2920 0.2920 0.2920
Ho3 0.7080 0.7080 0.7080
Ho4 0.8789 0.8789 0.8789
Al1 0.5000 0.5000 0.5000
Cu1 0.4044 0.4044 0.4044
Cu2 0.5956 0.5956 0.5956

Results
SG: R-3m
Calculated total energy (eV/atom): -4.419
E_form (meV/atom): -98


Entry 2:
A relaxed structure of Ho2Al5Cu5, computed with PBE.

abc: 4.1182 5.2695 8.9870
angles: 90.00 90.00 90.00
Sites, in units of the cell vectors:
Ho1 0.0000 0.0000 0.0000
Ho2 0.0000 0.5000 0.5000
Al1 0.5000 0.0000 0.5000
Al2 0.5000 0.2507 0.2387
Al3 0.5000 0.2507 0.7613
Al4 0.5000 0.7493 0.2387
Al5 0.5000 0.7493 0.7613
Cu1 0.0000 0.0000 0.3333
Cu2 0.0000 0.0000 0.6667
Cu3 0.0000 0.5000 0.1659
Cu4 0.0000 0.5000 0.8341
Cu5 0.5000 0.5000 0.0000

Results
SG: Pmmm
Calculated total energy (eV/atom): -4.465
E_form (meV/atom): -436


Entry 3:
A relaxed structure of Ho2AlCu4, computed with PBE.

abc: 4.4553 4.4553 14.4034
angles: 90.00 90.00 90.00
Sites, in units of the cell vectors:
Ho1 0.0000 0.0000 0.1389
Ho2 0.0000 0.0000 0.8611
Ho3 0.5000 0.5000 0.3611
Ho4 0.5000 0.5000 0.6389
Al1 0.0000 0.0000 0.5000
Al2 0.5000 0.5000 0.0000
Cu1 0.0000 0.0000 0.3342
Cu2 0.0000 0.0000 0.6658
Cu3 0.0000 0.5000 0.0000
Cu4 0.0000 0.5000 0.5000
Cu5 0.5000 0.0000 0.0000
Cu6 0.5000 0.0000 0.5000
Cu7 0.5000 0.5000 0.1658
Cu8 0.5000 0.5000 0.8342

Results
SG: I4/mmm
Calculated total energy (eV/atom): -4.055
E_form (meV/atom): 128


Entry 4:
A relaxed structure of Ho6Al2Cu, computed with PBE.

abc: 8.5503 8.5503 8.5503
angles: 146.52 131.15 60.52
Sites, in units of the cell vectors:
Ho1 0.0809 0.3375 0.7434
Ho2 0.2384 0.0000 0.2384
Ho3 0.4060 0.6625 0.7434
Ho4 0.5940 0.3375 0.2566
Ho5 0.7616 0.0000 0.7616
Ho6 0.9191 0.6625 0.2566
Al1 0.3341 0.8341 0.5000
Al2 0.6659 0.1659 0.5000
Cu1 0.0000 0.5000 0.5000

Results
SG: Immm
Calculated total energy (eV/atom): -4.338
E_form (meV/atom): 1


Question: What is the calculated total energy in the second record?
Answer: -4.465 eV/atom


Question: The highest E_form belongs to which entry?
Answer: Ho2AlCu4